Entry 1:
The following is a DFT calculation (PBE-GGA) of an optimized crystal structure of ThMn2Fe9.

Lattice parameters (Å, degrees): 4.8640 4.8640 23.6053 90.00 90.00 120.00
With the nearest neighbours (Å) after each atom.
Space group R-3m (No. 166, hexagonal axes)
Asymmetric unit:
Th 0.0000 0.0000 0.0000 [3 per cell]  6 Fe 2.81
Mn 0.0000 0.0000 0.1470 [6 per cell]  12 Fe 2.69-2.85, 3 Mn 2.96
Fe 0.0000 0.0000 0.3334 [6 per cell]  9 Fe 2.51-2.81, 3 Th 2.81
Fe 0.0000 0.0000 0.5000 [3 per cell]  6 Fe 2.33
Fe 0.0048 0.5024 0.9113 [18 per cell]  7 Fe 2.33-2.53

Formation energy from the elements in eV/atom: 0.086
Volume in Å³/cell: 483.64
Raw total energy in eV/atom: -8.41
Theoretical density in Mg/m³: 8.699

***

Entry 2:
The following is a DFT calculation (PBE-GGA) of an optimized crystal structure of Na2LiSnRu.

Lattice parameters (Å, degrees): 5.8633 5.8633 5.1876 90.00 90.00 90.00
With the nearest neighbours (Å) after each atom.
Space group P4/mmm (No. 123)
Asymmetric unit:
Na 0.0000 0.5000 0.0000 [2 per cell]  2 Ru 2.93
Li 0.0000 0.0000 0.5000 [1 per cell]  8 Na 3.91, 4 Sn 4.15
Sn 0.5000 0.5000 0.5000 [1 per cell]  2 Ru 2.59
Ru 0.5000 0.5000 0.0000 [1 per cell]  2 Sn 2.59

Formation energy from the elements in eV/atom: 0.520
Volume in Å³/cell: 178.34
Raw total energy in eV/atom: -3.05
Theoretical density in Mg/m³: 2.539

***

Entry 3:
The following is a DFT calculation (PBE-GGA) of an optimized crystal structure of Th2Cd3Pd.

Lattice parameters (Å, degrees): 3.4210 4.9882 8.6023 90.00 90.00 90.00
With the nearest neighbours (Å) after each atom.
Space group Pmm2 (No. 25)
Asymmetric unit:
Th 0.0000 0.0000 0.0000 [1 per cell]  2 Pd 3.15, 8 Cd 3.26-3.46, 2 Th 3.42
Th 0.0000 0.5000 0.4578 [1 per cell]  8 Cd 3.22-3.45, 4 Pd 3.29, 2 Th 3.42
Cd 0.5000 0.0000 0.6402 [1 per cell]  1 Pd 2.86, 2 Cd 2.87
Cd 0.5000 0.5000 0.1410 [1 per cell]  2 Pd 2.88, 1 Cd 2.89, 2 Th 3.22
Cd 0.5000 0.5000 0.8055 [1 per cell]  3 Cd 2.87-2.89
Pd 0.5000 0.0000 0.3078 [1 per cell]  3 Cd 2.86-2.88, 2 Th 3.15

Formation energy from the elements in eV/atom: -0.338
Volume in Å³/cell: 146.80
Raw total energy in eV/atom: -4.13
Theoretical density in Mg/m³: 10.268

***

Entry 4:
The following is a DFT calculation (PBE-GGA) of an optimized crystal structure of MgFeBr2.

Lattice parameters (Å, degrees): 3.2986 3.2986 9.1345 90.00 90.00 90.00
With the nearest neighbours (Å) after each atom.
Space group P4/mmm (No. 123)
Asymmetric unit:
Mg 0.0000 0.0000 0.0000 [1 per cell]  4 Mg 3.30
Fe 0.0000 0.0000 0.5000 [1 per cell]  8 Br 2.84
Br 0.5000 0.5000 0.3225 [2 per cell]  4 Fe 2.84

Volume in Å³/cell: 99.39
Raw total energy in eV/atom: -3.28
Theoretical density in Mg/m³: 4.009
Formation energy from raw total energies in eV/atom: 0.07